[1]
Here is a relaxed La3CoBrCl crystal from the Alexandria database. Energies are from PBE-GGA.

Summary:
- DFT total energy: -5.303 eV/atom
- E_form (uncorrected): -1069 meV/atom
- Volume: 27.72 A^3/atom
- Crystal system: monoclinic

a = 8.1313 Å, b = 3.8679 Å, c = 10.6310 Å
α = 90.00°, β = 95.71°, γ = 90.00°
Positions (direct):
La (0.0388, 0.2500, 0.1976)
La (0.2052, 0.7500, 0.5340)
La (0.4020, 0.2500, 0.8573)
La (0.5980, 0.7500, 0.1427)
La (0.7948, 0.2500, 0.4660)
La (0.9612, 0.7500, 0.8024)
Co (0.0932, 0.2500, 0.6791)
Co (0.9068, 0.7500, 0.3209)
Br (0.4141, 0.2500, 0.3306)
Br (0.5859, 0.7500, 0.6694)
Cl (0.2280, 0.7500, 0.0235)
Cl (0.7720, 0.2500, 0.9765)


[2]
Here is a relaxed La6Co2Br3Cl crystal from the Alexandria database. Energies are from PBE-GGA.

Summary:
- DFT total energy: -5.236 eV/atom
- E_form (uncorrected): -1016 meV/atom
- Volume: 28.40 A^3/atom
- Crystal system: monoclinic

a = 10.0169 Å, b = 10.0169 Å, c = 9.1835 Å
α = 109.25°, β = 109.25°, γ = 23.13°
Positions (direct):
La (0.0115, 0.0115, 0.2352)
La (0.3224, 0.3224, 0.4642)
La (0.3367, 0.3367, 0.8799)
La (0.6633, 0.6633, 0.1201)
La (0.6776, 0.6776, 0.5359)
La (0.9885, 0.9885, 0.7648)
Co (0.1624, 0.1624, 0.3213)
Co (0.8376, 0.8376, 0.6787)
Br (0.1650, 0.1650, 0.8284)
Br (0.5000, 0.5000, 0.5000)
Br (0.8350, 0.8350, 0.1716)
Cl (0.5000, 0.5000, 0.0000)


[3]
Here is a relaxed La4CoBr2Cl crystal from the Alexandria database. Energies are from PBE-GGA.

Summary:
- DFT total energy: -5.121 eV/atom
- E_form (uncorrected): -1120 meV/atom
- Volume: 28.19 A^3/atom
- Crystal system: monoclinic

a = 7.4272 Å, b = 4.0161 Å, c = 7.9397 Å
α = 90.00°, β = 107.78°, γ = 90.00°
Positions (direct):
La (0.2098, 0.0000, 0.2000)
La (0.2513, 0.5000, 0.7797)
La (0.7487, 0.5000, 0.2203)
La (0.7902, 0.0000, 0.8000)
Co (0.0000, 0.5000, 0.0000)
Br (0.0000, 0.0000, 0.5000)
Br (0.5000, 0.5000, 0.5000)
Cl (0.5000, 0.0000, 0.0000)


[4]
Here is a relaxed CoBrN2Cl crystal from the Alexandria database. Energies are from PBE-GGA.

Summary:
- DFT total energy: -4.326 eV/atom
- E_form (uncorrected): 1129 meV/atom
- Volume: 21.14 A^3/atom
- Crystal system: tetragonal

a = 3.5953 Å, b = 3.5953 Å, c = 8.1763 Å
α = 90.00°, β = 90.00°, γ = 90.00°
Positions (direct):
Co (0.0000, 0.0000, 0.0000)
Br (0.5000, 0.5000, 0.5000)
N (0.0000, 0.5000, 0.0000)
N (0.5000, 0.0000, 0.0000)
Cl (0.0000, 0.0000, 0.5000)


What is the formula in the second record?
La6Co2Br3Cl


Copy entry 2 word for word.
Here is a relaxed La6Co2Br3Cl crystal from the Alexandria database. Energies are from PBE-GGA.

Summary:
- DFT total energy: -5.236 eV/atom
- E_form (uncorrected): -1016 meV/atom
- Volume: 28.40 A^3/atom
- Crystal system: monoclinic

a = 10.0169 Å, b = 10.0169 Å, c = 9.1835 Å
α = 109.25°, β = 109.25°, γ = 23.13°
Positions (direct):
La (0.0115, 0.0115, 0.2352)
La (0.3224, 0.3224, 0.4642)
La (0.3367, 0.3367, 0.8799)
La (0.6633, 0.6633, 0.1201)
La (0.6776, 0.6776, 0.5359)
La (0.9885, 0.9885, 0.7648)
Co (0.1624, 0.1624, 0.3213)
Co (0.8376, 0.8376, 0.6787)
Br (0.1650, 0.1650, 0.8284)
Br (0.5000, 0.5000, 0.5000)
Br (0.8350, 0.8350, 0.1716)
Cl (0.5000, 0.5000, 0.0000)